A geometry-optimized Tb2DyYSc2 structure. Source: Alexandria, functional PBE.

Cell: 3.329 6.294 17.379 Å, 90.00 90.00 90.00°
Atoms (fractional coordinates):
1 Tb 0.500 0.276 0.309
2 Tb 0.000 0.776 0.191
3 Tb 0.500 0.724 0.691
4 Tb 0.000 0.224 0.809
5 Dy 0.500 0.500 0.000
6 Dy 0.000 0.000 0.500
7 Y 0.000 0.000 0.000
8 Y 0.500 0.500 0.500
9 Sc 0.500 0.779 0.354
10 Sc 0.500 0.221 0.646
11 Sc 0.000 0.721 0.854
12 Sc 0.000 0.279 0.146

ΔE_f = 0.278 eV/atom
Calculated total energy = -5.22 eV per atom
DOS at the Fermi energy = 20.639 states/eV per cell
Total magnetization = 0.00 μB per cell
SG = Pnnm (58)